Record 1
The following is a DFT calculation (PBE-GGA) of a relaxed structure of AcTbBiSb.

Lattice parameters (Å, degrees): 5.5119 5.5119 37.6984 90.00 90.00 120.00
Space group R-3m (No. 166, hexagonal axes)
Symmetry-distinct sites (fractional):
Ac 0.0000 0.0000 0.2075 (multiplicity 6)
Tb 0.0000 0.0000 0.3781 (multiplicity 6)
Bi 0.0000 0.0000 0.2964 (multiplicity 6)
Sb 0.0000 0.0000 0.1134 (multiplicity 6)

Summary:
energy	-4.807	eV per atom
raw formation energy	-622	meV per atom

=====

Record 2
The following is a DFT calculation (PBE-GGA) of a relaxed structure of Ac4BiSb2Te.

Lattice parameters (Å, degrees): 6.793 6.793 13.591 90.00 90.00 90.00
Space group I-4m2 (No. 119)
Symmetry-distinct sites (fractional):
Ac 0.000 0.000 0.246 (multiplicity 4)
Ac 0.000 0.500 0.003 (multiplicity 4)
Bi 0.000 0.500 0.750 (multiplicity 2)
Sb 0.000 0.000 0.000 (multiplicity 2)
Sb 0.000 0.500 0.250 (multiplicity 2)
Te 0.000 0.000 0.500 (multiplicity 2)

Summary:
energy	-5.229	eV per atom
raw formation energy	-1266	meV per atom

=====

Record 3
The following is a DFT calculation (PBE-GGA) of a relaxed structure of Ac6Bi3Sb2Te.

Lattice parameters (Å, degrees): 21.036 4.832 9.659 90.00 103.17 90.00
Space group C2/m (No. 12)
Symmetry-distinct sites (fractional):
Ac 0.001 0.000 0.254 (multiplicity 4)
Ac 0.168 0.500 0.088 (multiplicity 4)
Ac 0.168 0.500 0.580 (multiplicity 4)
Bi 0.000 0.500 0.500 (multiplicity 2)
Bi 0.165 0.000 0.833 (multiplicity 4)
Sb 0.166 0.000 0.332 (multiplicity 4)
Te 0.000 0.500 0.000 (multiplicity 2)

Summary:
energy	-5.156	eV per atom
raw formation energy	-1182	meV per atom

=====

Record 4
The following is a DFT calculation (PBE-GGA) of a relaxed structure of Ac8Bi3SbTe4.

Lattice parameters (Å, degrees): 9.6290 9.6290 23.3804 90.00 90.00 120.00
Space group R-3m (No. 166, hexagonal axes)
Symmetry-distinct sites (fractional):
Ac 0.0000 0.0000 0.2495 (multiplicity 6)
Ac 0.0039 0.5019 0.2485 (multiplicity 18)
Bi 0.0000 0.5000 0.5000 (multiplicity 9)
Sb 0.0000 0.0000 0.5000 (multiplicity 3)
Te 0.0000 0.0000 0.0000 (multiplicity 3)
Te 0.0000 0.5000 0.0000 (multiplicity 9)

Summary:
energy	-5.128	eV per atom
raw formation energy	-1303	meV per atom

=====

Record 5
The following is a DFT calculation (PBE-GGA) of a relaxed structure of Ac8Bi3Sb4Te.

Lattice parameters (Å, degrees): 16.699 9.641 9.653 90.00 125.22 90.00
Space group C2/m (No. 12)
Symmetry-distinct sites (fractional):
Ac 0.002 0.249 0.256 (multiplicity 8)
Ac 0.246 0.000 0.743 (multiplicity 4)
Ac 0.249 0.500 0.745 (multiplicity 4)
Bi 0.000 0.000 0.000 (multiplicity 2)
Bi 0.250 0.250 0.000 (multiplicity 4)
Sb 0.000 0.000 0.500 (multiplicity 2)
Sb 0.000 0.500 0.500 (multiplicity 2)
Sb 0.250 0.250 0.500 (multiplicity 4)
Te 0.000 0.500 0.000 (multiplicity 2)

Summary:
energy	-5.213	eV per atom
raw formation energy	-1204	meV per atom

=====

Record 6
The following is a DFT calculation (PBE-GGA) of a relaxed structure of Ac8BiSb3Te4.

Lattice parameters (Å, degrees): 9.5789 9.5789 23.3386 90.00 90.00 120.00
Space group R-3m (No. 166, hexagonal axes)
Symmetry-distinct sites (fractional):
Ac 0.0000 0.0000 0.2468 (multiplicity 6)
Ac 0.0036 0.5018 0.7523 (multiplicity 18)
Bi 0.0000 0.0000 0.5000 (multiplicity 3)
Sb 0.0000 0.5000 0.5000 (multiplicity 9)
Te 0.0000 0.0000 0.0000 (multiplicity 3)
Te 0.0000 0.5000 0.0000 (multiplicity 9)

Summary:
energy	-5.223	eV per atom
raw formation energy	-1368	meV per atom

=====

Record 7
The following is a DFT calculation (PBE-GGA) of a relaxed structure of AcYBiSb.

Lattice parameters (Å, degrees): 5.5108 5.5108 37.7745 90.00 90.00 120.00
Space group R-3m (No. 166, hexagonal axes)
Symmetry-distinct sites (fractional):
Ac 0.0000 0.0000 0.2076 (multiplicity 6)
Y 0.0000 0.0000 0.3777 (multiplicity 6)
Bi 0.0000 0.0000 0.2963 (multiplicity 6)
Sb 0.0000 0.0000 0.1138 (multiplicity 6)

Summary:
energy	-5.272	eV per atom
raw formation energy	-628	meV per atom

=====

Record 8
The following is a DFT calculation (PBE-GGA) of a relaxed structure of AcZnBiSb.

Lattice parameters (Å, degrees): 7.829 7.829 7.829 90.00 90.00 90.00
Space group F-43m (No. 216)
Symmetry-distinct sites (fractional):
Ac 0.000 0.000 0.000 (multiplicity 4)
Zn 0.250 0.250 0.750 (multiplicity 4)
Bi 0.000 0.000 0.500 (multiplicity 4)
Sb 0.250 0.250 0.250 (multiplicity 4)

Summary:
energy	-3.653	eV per atom
raw formation energy	-307	meV per atom

=====

Record 9
The following is a DFT calculation (PBE-GGA) of a relaxed structure of AcScBi2.

Lattice parameters (Å, degrees): 4.5952 4.5952 22.2693 90.00 90.00 120.00
Space group R-3m (No. 166, hexagonal axes)
Symmetry-distinct sites (fractional):
Ac 0.0000 0.0000 0.0000 (multiplicity 3)
Sc 0.0000 0.0000 0.5000 (multiplicity 3)
Bi 0.0000 0.0000 0.2374 (multiplicity 6)

Summary:
formation energy from the elements	-795	meV/atom
energy	-5.345	eV per atom
distance to the lowest polymorph of the same formula	0	meV/atom

=====

Record 10
The following is a DFT calculation (PBE-GGA) of a relaxed structure of AcScBi2.

Lattice parameters (Å, degrees): 7.953 7.953 7.953 90.00 90.00 90.00
Space group Fm-3m (No. 225)
Symmetry-distinct sites (fractional):
Ac 0.000 0.000 0.000 (multiplicity 4)
Sc 0.000 0.000 0.500 (multiplicity 4)
Bi 0.250 0.250 0.250 (multiplicity 8)

Summary:
formation energy from the elements	-532	meV/atom
energy	-5.083	eV per atom
distance to the lowest polymorph of the same formula	263	meV/atom

=====

Record 11
The following is a DFT calculation (PBE-GGA) of a relaxed structure of AcScBi2.

Lattice parameters (Å, degrees): 3.885 3.885 8.205 90.00 90.00 90.00
Space group P4/mmm (No. 123)
Symmetry-distinct sites (fractional):
Ac 0.000 0.000 0.000 (multiplicity 1)
Sc 0.000 0.000 0.500 (multiplicity 1)
Bi 0.500 0.500 0.285 (multiplicity 2)

Summary:
formation energy from the elements	-553	meV/atom
energy	-5.104	eV per atom
distance to the lowest polymorph of the same formula	242	meV/atom

=====

Record 12
The following is a DFT calculation (PBE-GGA) of a relaxed structure of AcScBi3.

Lattice parameters (Å, degrees): 14.448 6.581 6.847 90.00 90.00 90.00
Space group Pbcm (No. 57)
Symmetry-distinct sites (fractional):
Ac 0.185 0.008 0.250 (multiplicity 4)
Sc 0.407 0.750 0.000 (multiplicity 4)
Bi 0.002 0.750 0.000 (multiplicity 4)
Bi 0.271 0.503 0.250 (multiplicity 4)
Bi 0.430 0.123 0.250 (multiplicity 4)

Summary:
formation energy from the elements	-643	meV/atom
energy	-5.059	eV per atom
distance to the lowest polymorph of the same formula	0	meV/atom

=====

Record 13
The following is a DFT calculation (PBE-GGA) of a relaxed structure of AcScBi3.

Lattice parameters (Å, degrees): 5.613 5.613 5.613 90.00 90.00 90.00
Space group Pm-3m (No. 221)
Symmetry-distinct sites (fractional):
Ac 0.000 0.000 0.000 (multiplicity 1)
Sc 0.500 0.500 0.500 (multiplicity 1)
Bi 0.000 0.500 0.500 (multiplicity 3)

Summary:
formation energy from the elements	-328	meV/atom
energy	-4.745	eV per atom
distance to the lowest polymorph of the same formula	314	meV/atom

=====

Record 14
The following is a DFT calculation (PBE-GGA) of a relaxed structure of AcScBi2.

Lattice parameters (Å, degrees): 4.5286 4.5286 23.6024 90.00 90.00 120.00
Space group R3m (No. 160, hexagonal axes)
Symmetry-distinct sites (fractional):
Ac 0.0000 0.0000 0.0000 (multiplicity 3)
Sc 0.0000 0.0000 0.8298 (multiplicity 3)
Bi 0.0000 0.0000 0.4244 (multiplicity 3)
Bi 0.0000 0.0000 0.5718 (multiplicity 3)

Summary:
formation energy from the elements	-673	meV/atom
energy	-5.224	eV per atom
distance to the lowest polymorph of the same formula	122	meV/atom

=====

Record 15
The following is a DFT calculation (PBE-GGA) of a relaxed structure of AcScBi2.

Lattice parameters (Å, degrees): 5.972 5.972 3.537 90.00 90.00 90.00
Space group P4/mmm (No. 123)
Symmetry-distinct sites (fractional):
Ac 0.000 0.000 0.000 (multiplicity 1)
Sc 0.500 0.500 0.000 (multiplicity 1)
Bi 0.000 0.500 0.500 (multiplicity 2)

Summary:
formation energy from the elements	-507	meV/atom
energy	-5.057	eV per atom
distance to the lowest polymorph of the same formula	288	meV/atom

=====

Record 16
The following is a DFT calculation (PBE-GGA) of a relaxed structure of Ac3Sc12Bi5.

Lattice parameters (Å, degrees): 17.787 17.787 17.787 90.00 90.00 90.00
Space group Ia-3d (No. 230)
Symmetry-distinct sites (fractional):
Ac 0.000 0.250 0.125 (multiplicity 24)
Sc 0.019 0.073 0.648 (multiplicity 96)
Bi 0.000 0.000 0.000 (multiplicity 16)
Bi 0.000 0.250 0.375 (multiplicity 24)

Summary:
formation energy from the elements	359	meV/atom
energy	-5.027	eV per atom

=====

Record 17
The following is a DFT calculation (PBE-GGA) of a relaxed structure of Ac2SmScBi4.

Lattice parameters (Å, degrees): 8.046 4.663 8.067 90.00 109.55 90.00
Space group P2/m (No. 10)
Symmetry-distinct sites (fractional):
Ac 0.000 0.000 0.000 (multiplicity 1)
Ac 0.000 0.500 0.500 (multiplicity 1)
Sm 0.500 0.000 0.500 (multiplicity 1)
Sc 0.500 0.500 0.000 (multiplicity 1)
Bi 0.274 0.500 0.250 (multiplicity 2)
Bi 0.281 0.000 0.769 (multiplicity 2)

Summary:
formation energy from the elements	-860	meV/atom
energy	-5.209	eV per atom

=====

Record 18
The following is a DFT calculation (PBE-GGA) of a relaxed structure of AcScSnBi.

Lattice parameters (Å, degrees): 7.861 7.861 7.861 90.00 90.00 90.00
Space group F-43m (No. 216)
Symmetry-distinct sites (fractional):
Ac 0.000 0.000 0.000 (multiplicity 4)
Sc 0.000 0.000 0.500 (multiplicity 4)
Sn 0.250 0.250 0.750 (multiplicity 4)
Bi 0.250 0.250 0.250 (multiplicity 4)

Summary:
formation energy from the elements	-456	meV/atom
energy	-5.036	eV per atom

=====

Record 19
The following is a DFT calculation (PBE-GGA) of a relaxed structure of AcScBiTe.

Lattice parameters (Å, degrees): 5.253 5.253 10.207 90.00 90.00 90.00
Space group P4/nmm (No. 129, origin choice 2)
Symmetry-distinct sites (fractional):
Ac 0.250 0.250 0.184 (multiplicity 2)
Sc 0.250 0.750 0.500 (multiplicity 2)
Bi 0.250 0.250 0.649 (multiplicity 2)
Te 0.250 0.750 0.000 (multiplicity 2)

Summary:
energy	-5.172	eV per atom
raw formation energy	-806	meV per atom

=====

Record 20
The following is a DFT calculation (PBE-GGA) of a relaxed structure of Ac2ScBi2Te2.

Lattice parameters (Å, degrees): 5.451 5.451 17.472 90.00 90.00 90.00
Space group I4/mmm (No. 139)
Symmetry-distinct sites (fractional):
Ac 0.000 0.000 0.137 (multiplicity 4)
Sc 0.000 0.000 0.500 (multiplicity 2)
Bi 0.000 0.500 0.000 (multiplicity 4)
Te 0.000 0.000 0.323 (multiplicity 4)

Summary:
energy	-4.974	eV per atom
raw formation energy	-890	meV per atom

=====

Computed DOS at the Fermi energy, in the same sequence as the records: 0.036, 0.445, 0.212, 0.468, 0.240, 0.466, 0.011, 0.789, 0.176, 0.906, 1.029, 0.544, 0.856, 0.135, 0.664, 1.338, 0.142, 1.205, 0.892, 0.263 states/eV per atom.